Here is an optimized crystal structure of AcPuFe2O6 from Alexandria via LeMat-Bulk. Energies are from GGA+U.

The electronic total energy is -8.2624 eV per atom. The calculation puts the volume at 14.34 Å³/atom. The value obtained for the density of states at the Fermi level is 13.55 states/eV per cell. The calculation puts the spin magnetization at 5.0 μB/f.u.

The structure belongs to space group P2_1/c (No. 14); the cell edges are 5.762, 5.775 and 10.165 Å and the angles 90.00°, 122.00° and 90.00°. The distinct sites, in fractional coordinates, are Ac at (0.000, 0.000, 0.000), Pu at (0.500, 0.000, 0.500), Fe at (0.212, 0.017, 0.740), O at (0.129, 0.151, 0.272), O at (0.243, 0.635, 0.068) and O at (0.478, 0.188, 0.098).